MgBeNiAs (PBE-GGA, optimized geometry); space-group type = F-43m; E above lowest polymorph = 0 meV/atom; E_tot = -3.77 eV/atom
1.0
3.179 -1.504 2.418
-0.369 -3.813 1.880
2.349 -3.290 -1.368
As Ni Mg Be
1 1 1 1
Direct
0.000 0.000 0.000
0.750 0.750 0.750
0.250 0.250 0.250
0.500 0.500 0.500



ZrReSi (PBE-GGA, optimized geometry); space-group type = P-62m; E_tot = -8.91 eV/atom
1.0
-3.284 -6.185 -2.400
6.099 2.499 -3.370
1.771 -1.696 1.948
Si Zr Re
3 3 3
Direct
0.333 0.667 0.000
0.000 0.000 0.500
0.667 0.333 0.000
0.000 0.280 0.000
0.720 0.720 0.000
0.280 0.000 0.000
0.000 0.608 0.500
0.608 0.000 0.500
0.392 0.392 0.500



TaTlNiPt (PBE-GGA, optimized geometry); space-group type = F-43m; E above lowest polymorph = 0 meV/atom; E_tot = -6.45 eV/atom
1.0
0.000 3.219 3.219
3.219 0.000 3.219
3.219 3.219 0.000
Ni Ta Pt Tl
1 1 1 1
Direct
0.750 0.750 0.750
0.500 0.500 0.500
0.250 0.250 0.250
0.000 0.000 0.000



HfZrBiN (PBE-GGA, optimized geometry); space-group type = P-3m1; E above lowest polymorph = 7 meV/atom; E_tot = -8.60 eV/atom
1.0
3.494 0.000 0.000
-1.747 3.026 0.000
0.000 0.000 13.654
Hf N Bi Zr
2 2 2 2
Direct
0.333 0.667 0.920
0.667 0.333 0.080
0.000 0.000 0.500
0.000 0.000 0.000
0.667 0.333 0.753
0.333 0.667 0.247
0.667 0.333 0.418
0.333 0.667 0.582